Entry 1:
Sr2BiPb: optimized geometry, GGA-PBE.

For the energy of formation from the pure elements, the calculation gives -623 meV/atom. The value obtained for the total energy is -26.9 eV per cell. Its energy above the most stable polymorph in this dataset is 0.09 eV/f.u.

It has space group P2_1/m (No. 11), with a = 6.831 Å, b = 4.634 Å, c = 9.913 Å, α = 90.00°, β = 107.14° and γ = 90.00°. The asymmetric unit holds Sr at (0.178, 0.250, 0.417), Sr at (0.302, 0.750, 0.076), Bi at (0.140, 0.250, 0.809) and Pb at (0.379, 0.750, 0.682).

Entry 2:
SrBiPb3: optimized geometry, GGA-PBE.

For the energy of formation from the pure elements, the calculation gives 271 meV/atom. The value obtained for the total energy is -15.3 eV per cell. Its energy above the most stable polymorph in this dataset is 1.44 eV/f.u.

It has space group Pm-3m (No. 221), with a = 6.045 Å, b = 6.045 Å, c = 6.045 Å, α = 90.00°, β = 90.00° and γ = 90.00°. The asymmetric unit holds Sr at (0.000, 0.000, 0.000), Bi at (0.500, 0.500, 0.500) and Pb at (0.000, 0.500, 0.500).

Entry 3:
Sr2Bi3Pb: optimized geometry, GGA-PBE.

For the energy of formation from the pure elements, the calculation gives -514 meV/atom. The value obtained for the total energy is -87.2 eV per cell. Its energy above the most stable polymorph in this dataset is 0.00 eV/f.u.

It has space group Pnma (No. 62), with a = 7.592 Å, b = 5.083 Å, c = 22.050 Å, α = 90.00°, β = 90.00° and γ = 90.00°. The asymmetric unit holds Sr at (0.227, 0.250, 0.196), Sr at (0.247, 0.250, 0.405), Bi at (0.002, 0.250, 0.646), Bi at (0.107, 0.250, 0.793), Bi at (0.198, 0.750, 0.522) and Pb at (0.080, 0.750, 0.067).

Entry 4:
SrTiBiPb2: optimized geometry, GGA-PBE.

For the energy of formation from the pure elements, the calculation gives 486 meV/atom. The value obtained for the total energy is -18.4 eV per cell.

It has space group P4/mmm (No. 123), with a = 6.096 Å, b = 6.096 Å, c = 5.268 Å, α = 90.00°, β = 90.00° and γ = 90.00°. The asymmetric unit holds Sr at (0.000, 0.000, 0.000), Ti at (0.500, 0.500, 0.000), Bi at (0.500, 0.500, 0.500) and Pb at (0.000, 0.500, 0.500).

Entry 5:
SrTl2Bi2Pb: optimized geometry, GGA-PBE.

For the energy of formation from the pure elements, the calculation gives -276 meV/atom. The value obtained for the total energy is -39.1 eV per cell.

It has space group Pmc2_1 (No. 26), with a = 5.103 Å, b = 10.623 Å, c = 7.919 Å, α = 90.00°, β = 90.00° and γ = 90.00°. The asymmetric unit holds Sr at (0.000, 0.087, 0.000), Tl at (0.000, 0.314, 0.361), Tl at (0.500, 0.435, 0.075), Bi at (0.000, 0.373, 0.768), Bi at (0.500, 0.098, 0.294) and Pb at (0.500, 0.199, 0.676).

Entry 6:
SrTlBi2Pb: optimized geometry, GGA-PBE.

For the energy of formation from the pure elements, the calculation gives 210 meV/atom. The value obtained for the total energy is -14.5 eV per cell.

It has space group P4/mmm (No. 123), with a = 5.992 Å, b = 5.992 Å, c = 5.704 Å, α = 90.00°, β = 90.00° and γ = 90.00°. The asymmetric unit holds Sr at (0.000, 0.000, 0.000), Tl at (0.500, 0.500, 0.500), Bi at (0.000, 0.500, 0.500) and Pb at (0.500, 0.500, 0.000).

Entry 7:
SrTlBiPb: optimized geometry, GGA-PBE.

For the energy of formation from the pure elements, the calculation gives -302 meV/atom. The value obtained for the total energy is -51.4 eV per cell. Its energy above the most stable polymorph in this dataset is 0.42 eV/f.u.

It has space group F-43m (No. 216), with a = 8.115 Å, b = 8.115 Å, c = 8.115 Å, α = 90.00°, β = 90.00° and γ = 90.00°. The asymmetric unit holds Sr at (0.000, 0.000, 0.000), Tl at (0.250, 0.250, 0.750), Bi at (0.250, 0.250, 0.250) and Pb at (0.000, 0.000, 0.500).

Entry 8:
SrTlBiPb2: optimized geometry, GGA-PBE.

For the energy of formation from the pure elements, the calculation gives -149 meV/atom. The value obtained for the total energy is -64.4 eV per cell.

It has space group Cmcm (No. 63), with a = 6.509 Å, b = 17.307 Å, c = 6.680 Å, α = 90.00°, β = 90.00° and γ = 90.00°. The asymmetric unit holds Sr at (0.000, 0.164, 0.250), Tl at (0.000, 0.357, 0.250), Bi at (0.000, 0.166, 0.750) and Pb at (0.249, 0.500, 0.000).

Entry 9:
SrTlBiPb: optimized geometry, GGA-PBE.

For the energy of formation from the pure elements, the calculation gives -407 meV/atom. The value obtained for the total energy is -13.3 eV per cell. Its energy above the most stable polymorph in this dataset is 0.00 eV/f.u.

It has space group Pmmm (No. 47), with a = 4.872 Å, b = 5.149 Å, c = 5.166 Å, α = 90.00°, β = 90.00° and γ = 90.00°. The asymmetric unit holds Sr at (0.000, 0.000, 0.000), Tl at (0.500, 0.000, 0.500), Bi at (0.500, 0.500, 0.000) and Pb at (0.000, 0.500, 0.500).

Entry 10:
TaBi2Pb: optimized geometry, GGA-PBE.

For the energy of formation from the pure elements, the calculation gives 755 meV/atom. The value obtained for the total energy is -81.2 eV per cell.

It has space group I-42d (No. 122), with a = 6.814 Å, b = 6.814 Å, c = 13.891 Å, α = 90.00°, β = 90.00° and γ = 90.00°. The asymmetric unit holds Ta at (0.000, 0.000, 0.000), Bi at (0.197, 0.250, 0.125) and Pb at (0.000, 0.000, 0.500).

Entry 11:
Ta2BiPb2: optimized geometry, GGA-PBE.

For the energy of formation from the pure elements, the calculation gives 814 meV/atom. The value obtained for the total energy is -61.9 eV per cell. Its energy above the most stable polymorph in this dataset is 1.12 eV/f.u.

It has space group I4/mmm (No. 139), with a = 4.201 Å, b = 4.201 Å, c = 14.240 Å, α = 90.00°, β = 90.00° and γ = 90.00°. The asymmetric unit holds Ta at (0.000, 0.000, 0.095), Bi at (0.000, 0.000, 0.500) and Pb at (0.000, 0.500, 0.250).